Model i:
A relaxed structure of CsCuMo3, computed with PBE.

Properties
Total magnetic moment = 1.098 μB/atom
Mass density = 7.062 Mg/m³

Lattice parameters (Å, degrees): 4.847 4.847 4.847 90.00 90.00 90.00
Space group Pm-3m (No. 221)
One atom of each set of equivalent atoms:
Cs1 0.000 0.000 0.000 (multiplicity 1)
Cu1 0.500 0.500 0.500 (multiplicity 1)
Mo1 0.000 0.500 0.500 (multiplicity 3)

Model ii:
A relaxed structure of CsCuMo3, computed with PBE.

Properties
Total magnetic moment = 0.000 μB/atom
Mass density = 6.931 Mg/m³

Lattice parameters (Å, degrees): 4.877 4.877 4.877 90.00 90.00 90.00
Space group Pm-3m (No. 221)
One atom of each set of equivalent atoms:
Cs1 0.000 0.000 0.000 (multiplicity 1)
Cu1 0.500 0.500 0.500 (multiplicity 1)
Mo1 0.000 0.000 0.500 (multiplicity 3)

Short version: model ii is the least stable of them.

Model i:
A relaxed structure of CsCuTe2N, computed with PBE.

Properties
Total magnetic moment = 0.117 μB/atom
Mass density = 5.272 Mg/m³

Lattice parameters (Å, degrees): 6.511 6.511 3.460 90.00 90.00 90.00
Space group P4/mmm (No. 123)
One atom of each set of equivalent atoms:
Cs1 0.000 0.000 0.000 (multiplicity 1)
Cu1 0.500 0.500 0.500 (multiplicity 1)
Te1 0.000 0.500 0.500 (multiplicity 2)
N1 0.500 0.500 0.000 (multiplicity 1)

Model ii:
A relaxed structure of CsCuTe2N, computed with PBE.

Properties
Total magnetic moment = 0.089 μB/atom
Mass density = 4.258 Mg/m³

Lattice parameters (Å, degrees): 6.580 6.580 4.195 90.00 90.00 90.00
Space group P4/mmm (No. 123)
One atom of each set of equivalent atoms:
Cs1 0.000 0.000 0.000 (multiplicity 1)
Cu1 0.500 0.500 0.500 (multiplicity 1)
Te1 0.000 0.500 0.000 (multiplicity 2)
N1 0.000 0.000 0.500 (multiplicity 1)

Short version: model ii is the least stable of them.

Model i:
A relaxed structure of CsNa2Cu, computed with PBE.

Properties
Total magnetic moment = 0.000 μB/atom
Mass density = 2.083 Mg/m³

Lattice parameters (Å, degrees): 6.255 6.255 19.763 90.00 90.00 90.00
Space group I-42d (No. 122)
One atom of each set of equivalent atoms:
Cs1 0.000 0.000 0.000 (multiplicity 4)
Na1 0.003 0.250 0.625 (multiplicity 8)
Cu1 0.000 0.000 0.500 (multiplicity 4)

Model ii:
A relaxed structure of CsNa2Cu, computed with PBE.

Properties
Total magnetic moment = 0.000 μB/atom
Mass density = 2.747 Mg/m³

Lattice parameters (Å, degrees): 8.369 8.369 8.369 90.00 90.00 90.00
Space group Fm-3m (No. 225)
One atom of each set of equivalent atoms:
Cs1 0.000 0.000 0.000 (multiplicity 4)
Na1 0.250 0.250 0.250 (multiplicity 8)
Cu1 0.000 0.000 0.500 (multiplicity 4)

Short version: model ii is the least stable of them.

Model i:
A relaxed structure of CsNa2Cu2, computed with PBE.

Properties
Total magnetic moment = 0.000 μB/atom
Mass density = 3.286 Mg/m³

Lattice parameters (Å, degrees): 4.947 4.947 12.635 90.00 90.00 90.00
Space group I4/mmm (No. 139)
One atom of each set of equivalent atoms:
Cs1 0.000 0.000 0.000 (multiplicity 2)
Na1 0.000 0.500 0.250 (multiplicity 4)
Cu1 0.000 0.000 0.404 (multiplicity 4)

Model ii:
A relaxed structure of CsNa2Cu2, computed with PBE.

Properties
Total magnetic moment = 0.000 μB/atom
Mass density = 3.563 Mg/m³

Lattice parameters (Å, degrees): 9.066 9.066 3.469 90.00 90.00 90.00
Space group P4/mbm (No. 127)
One atom of each set of equivalent atoms:
Cs1 0.000 0.000 0.000 (multiplicity 2)
Na1 0.122 0.378 0.000 (multiplicity 4)
Cu1 0.171 0.671 0.500 (multiplicity 4)

Short version: model ii is the least stable of them.

Model i:
A relaxed structure of CsNaCu3, computed with PBE.

Properties
Total magnetic moment = 0.000 μB/atom
Mass density = 3.765 Mg/m³

Lattice parameters (Å, degrees): 5.347 5.347 5.347 90.00 90.00 90.00
Space group Pm-3m (No. 221)
One atom of each set of equivalent atoms:
Cs1 0.000 0.000 0.000 (multiplicity 1)
Na1 0.500 0.500 0.500 (multiplicity 1)
Cu1 0.000 0.500 0.500 (multiplicity 3)

Model ii:
A relaxed structure of CsNaCu3, computed with PBE.

Properties
Total magnetic moment = 0.000 μB/atom
Mass density = 2.731 Mg/m³

Lattice parameters (Å, degrees): 5.951 5.951 5.951 90.00 90.00 90.00
Space group Pm-3m (No. 221)
One atom of each set of equivalent atoms:
Cs1 0.000 0.000 0.000 (multiplicity 1)
Na1 0.500 0.500 0.500 (multiplicity 1)
Cu1 0.000 0.000 0.500 (multiplicity 3)

Short version: model ii is the least stable of them.

Model i:
A relaxed structure of Cs2NaCu2, computed with PBE.

Properties
Total magnetic moment = 0.000 μB/atom
Mass density = 3.301 Mg/m³

Lattice parameters (Å, degrees): 10.296 10.296 3.946 90.00 90.00 90.00
Space group P4/mbm (No. 127)
One atom of each set of equivalent atoms:
Cs1 0.137 0.363 0.000 (multiplicity 4)
Na1 0.000 0.000 0.000 (multiplicity 2)
Cu1 0.163 0.663 0.500 (multiplicity 4)

Model ii:
A relaxed structure of Cs2NaCu2, computed with PBE.

Properties
Total magnetic moment = 0.000 μB/atom
Mass density = 2.678 Mg/m³

Lattice parameters (Å, degrees): 6.461 6.461 12.353 90.00 90.00 90.00
Space group I4/mmm (No. 139)
One atom of each set of equivalent atoms:
Cs1 0.000 0.000 0.156 (multiplicity 4)
Na1 0.000 0.000 0.500 (multiplicity 2)
Cu1 0.000 0.500 0.250 (multiplicity 4)

Short version: model ii is the least stable of them.

Model i:
A relaxed structure of CsNa2CuSn, computed with PBE.

Properties
Total magnetic moment = 0.000 μB/atom
Mass density = 3.530 Mg/m³

Lattice parameters (Å, degrees): 5.851 5.851 4.962 90.00 90.00 90.00
Space group P4/mmm (No. 123)
One atom of each set of equivalent atoms:
Cs1 0.000 0.000 0.000 (multiplicity 1)
Na1 0.000 0.500 0.500 (multiplicity 2)
Cu1 0.500 0.500 0.500 (multiplicity 1)
Sn1 0.500 0.500 0.000 (multiplicity 1)

Model ii:
A relaxed structure of CsNa2CuSn, computed with PBE.

Properties
Total magnetic moment = 0.000 μB/atom
Mass density = 3.253 Mg/m³

Lattice parameters (Å, degrees): 6.029 6.029 5.071 90.00 90.00 90.00
Space group P4/mmm (No. 123)
One atom of each set of equivalent atoms:
Cs1 0.000 0.000 0.000 (multiplicity 1)
Na1 0.000 0.500 0.500 (multiplicity 2)
Cu1 0.500 0.500 0.000 (multiplicity 1)
Sn1 0.500 0.500 0.500 (multiplicity 1)

Short version: model ii is the least stable of them.

Model i:
A relaxed structure of CsNa2SrCu, computed with PBE.

Properties
Total magnetic moment = 0.000 μB/atom
Mass density = 1.325 Mg/m³

Lattice parameters (Å, degrees): 6.871 6.871 8.760 90.00 90.00 90.00
Space group P4/mmm (No. 123)
One atom of each set of equivalent atoms:
Cs1 0.000 0.000 0.000 (multiplicity 1)
Na1 0.000 0.500 0.500 (multiplicity 2)
Sr1 0.000 0.000 0.500 (multiplicity 1)
Cu1 0.500 0.500 0.000 (multiplicity 1)

Model ii:
A relaxed structure of CsNa2SrCu, computed with PBE.

Properties
Total magnetic moment = 0.000 μB/atom
Mass density = 2.438 Mg/m³

Lattice parameters (Å, degrees): 6.152 6.152 5.939 90.00 90.00 90.00
Space group P4/mmm (No. 123)
One atom of each set of equivalent atoms:
Cs1 0.000 0.000 0.000 (multiplicity 1)
Na1 0.000 0.500 0.500 (multiplicity 2)
Sr1 0.500 0.500 0.000 (multiplicity 1)
Cu1 0.500 0.500 0.500 (multiplicity 1)

Short version: model i is the least stable of them.

Model i:
A relaxed structure of CsNbCu3, computed with PBE.

Properties
Total magnetic moment = 0.604 μB/atom
Mass density = 5.134 Mg/m³

Lattice parameters (Å, degrees): 5.126 5.126 5.126 90.00 90.00 90.00
Space group Pm-3m (No. 221)
One atom of each set of equivalent atoms:
Cs1 0.000 0.000 0.000 (multiplicity 1)
Nb1 0.500 0.500 0.500 (multiplicity 1)
Cu1 0.000 0.000 0.500 (multiplicity 3)

Model ii:
A relaxed structure of CsNbCu3, computed with PBE.

Properties
Total magnetic moment = 0.000 μB/atom
Mass density = 5.189 Mg/m³

Lattice parameters (Å, degrees): 5.108 5.108 5.108 90.00 90.00 90.00
Space group Pm-3m (No. 221)
One atom of each set of equivalent atoms:
Cs1 0.000 0.000 0.000 (multiplicity 1)
Nb1 0.500 0.500 0.500 (multiplicity 1)
Cu1 0.000 0.500 0.500 (multiplicity 3)

Short version: model i is the least stable of them.

Model i:
A relaxed structure of Cs2NbCuSe4, computed with PBE.

Properties
Total magnetic moment = 0.000 μB/atom
Mass density = 4.299 Mg/m³

Lattice parameters (Å, degrees): 5.831 14.965 26.137 90.00 90.00 90.00
Space group Fddd (No. 70, origin choice 2)
One atom of each set of equivalent atoms:
Cs1 0.125 0.125 0.303 (multiplicity 16)
Nb1 0.125 0.125 0.125 (multiplicity 8)
Cu1 0.125 0.125 0.625 (multiplicity 8)
Se1 0.120 0.282 0.428 (multiplicity 32)

Model ii:
A relaxed structure of Cs2NbCuSe4, computed with PBE.

Properties
Total magnetic moment = 0.000 μB/atom
Mass density = 4.316 Mg/m³

Lattice parameters (Å, degrees): 5.813 15.047 25.974 90.00 90.00 90.00
Space group Fddd (No. 70, origin choice 2)
One atom of each set of equivalent atoms:
Cs1 0.125 0.125 0.302 (multiplicity 16)
Nb1 0.125 0.125 0.625 (multiplicity 8)
Cu1 0.125 0.125 0.125 (multiplicity 8)
Se1 0.121 0.281 0.822 (multiplicity 32)

Short version: model ii is the least stable of them.

Model i:
A relaxed structure of CsCuNi3, computed with PBE.

Properties
Total magnetic moment = 0.132 μB/atom
Mass density = 6.345 Mg/m³

Lattice parameters (Å, degrees): 4.603 4.603 4.603 90.00 90.00 90.00
Space group Pm-3m (No. 221)
One atom of each set of equivalent atoms:
Cs1 0.000 0.000 0.000 (multiplicity 1)
Cu1 0.500 0.500 0.500 (multiplicity 1)
Ni1 0.000 0.500 0.500 (multiplicity 3)

Model ii:
A relaxed structure of CsCuNi3, computed with PBE.

Properties
Total magnetic moment = 0.000 μB/atom
Mass density = 5.671 Mg/m³

Lattice parameters (Å, degrees): 4.778 4.778 4.778 90.00 90.00 90.00
Space group Pm-3m (No. 221)
One atom of each set of equivalent atoms:
Cs1 0.000 0.000 0.000 (multiplicity 1)
Cu1 0.500 0.500 0.500 (multiplicity 1)
Ni1 0.000 0.000 0.500 (multiplicity 3)

Short version: model ii is the least stable of them.

Model i:
A relaxed structure of CsCuNi2, computed with PBE.

Properties
Total magnetic moment = 0.320 μB/atom
Mass density = 5.322 Mg/m³

Lattice parameters (Å, degrees): 4.869 4.869 16.519 90.00 90.00 90.00
Space group I4_1/amd (No. 141, origin choice 2)
One atom of each set of equivalent atoms:
Cs1 0.000 0.250 0.375 (multiplicity 4)
Cu1 0.000 0.250 0.875 (multiplicity 4)
Ni1 0.000 0.000 0.000 (multiplicity 8)

Model ii:
A relaxed structure of CsCuNi2, computed with PBE.

Properties
Total magnetic moment = 0.000 μB/atom
Mass density = 7.482 Mg/m³

Lattice parameters (Å, degrees): 6.531 6.531 6.531 90.00 90.00 90.00
Space group Fm-3m (No. 225)
One atom of each set of equivalent atoms:
Cs1 0.000 0.000 0.000 (multiplicity 4)
Cu1 0.000 0.000 0.500 (multiplicity 4)
Ni1 0.250 0.250 0.250 (multiplicity 8)

Short version: model ii is the least stable of them.